This record from OQMD via LeMat-Bulk describes an optimized crystal structure of LiRe3Si5. The functional is PBE.

Cell lengths 5.299, 5.299, 6.315 Å; angles 90.00, 90.00, 120.00 degrees
Atoms (fractional coordinates):
Li 0.000 0.000 0.000
Re 0.500 0.000 0.500
Re 0.000 0.500 0.500
Re 0.500 0.500 0.500
Si 0.667 0.333 0.183
Si 0.333 0.667 0.183
Si 0.000 0.000 0.500
Si 0.667 0.333 0.817
Si 0.333 0.667 0.817

Values from the calculation:
Space-group type = P6/mmm (191)
Electronic total energy = -7.137 eV/atom

---

This record from OQMD via LeMat-Bulk describes an optimized crystal structure of NaCuSn. The functional is PBE.

Cell lengths 4.669, 4.669, 4.669 Å; angles 60.00, 60.00, 60.00 degrees
Atoms (fractional coordinates):
Cu 0.250 0.250 0.250
Na 0.000 0.000 0.000
Sn 0.750 0.750 0.750

Values from the calculation:
Space-group type = F-43m (216)
Electronic total energy = -2.462 eV/atom

---

This record from OQMD via LeMat-Bulk describes an optimized crystal structure of NdAl2. The functional is PBE.

Cell lengths 5.858, 5.858, 5.733 Å; angles 90.00, 90.00, 90.00 degrees
Atoms (fractional coordinates):
Al 0.351 0.351 0.000
Al 0.649 0.649 0.000
Al 0.851 0.149 0.500
Al 0.149 0.851 0.500
Nd 0.000 0.000 0.000
Nd 0.500 0.500 0.500

Values from the calculation:
Space-group type = P4_2/mnm (136)
Electronic total energy = -3.560 eV/atom

---

This record from OQMD via LeMat-Bulk describes an optimized crystal structure of GdTlAsSe3. The functional is PBE.

Cell lengths 7.989, 7.989, 10.441 Å; angles 90.00, 90.00, 149.36 degrees
Atoms (fractional coordinates):
As 0.951 0.049 0.250
As 0.049 0.951 0.750
Gd 0.500 0.500 0.000
Gd 0.500 0.500 0.500
Se 0.869 0.131 0.045
Se 0.594 0.406 0.250
Se 0.869 0.131 0.455
Se 0.131 0.869 0.545
Se 0.406 0.594 0.750
Se 0.131 0.869 0.955
Tl 0.240 0.760 0.250
Tl 0.760 0.240 0.750

Values from the calculation:
Space-group type = Cmcm (63)
Electronic total energy = -4.414 eV/atom

---

This record from OQMD via LeMat-Bulk describes an optimized crystal structure of NaGdW. The functional is PBE.

Cell lengths 4.928, 4.928, 4.928 Å; angles 60.00, 60.00, 60.00 degrees
Last column: magnetic moment on the atom in μB.
Atoms (fractional coordinates):
Gd 0.000 0.000 0.000  0.43
Na 0.250 0.250 0.250  -0.01
W 0.750 0.750 0.750  2.12

Values from the calculation:
Space-group type = F-43m (216)
Energy relative to the lowest polymorph listed for this composition = 0.0000 eV per atom

---

This record from OQMD via LeMat-Bulk describes an optimized crystal structure of RbB4Ir. The functional is PBE.

Cell lengths 3.124, 3.124, 8.392 Å; angles 90.00, 90.00, 120.00 degrees
Atoms (fractional coordinates):
B 0.667 0.333 0.186
B 0.333 0.667 0.186
B 0.667 0.333 0.814
B 0.333 0.667 0.814
Ir 0.000 0.000 0.000
Rb 0.000 0.000 0.500

Values from the calculation:
Space-group type = P6/mmm (191)
Energy relative to the lowest polymorph listed for this composition = 0.0000 eV per atom

---

This record from OQMD via LeMat-Bulk describes an optimized crystal structure of PmHI2. The functional is PBE.

Cell lengths 4.102, 4.102, 8.599 Å; angles 103.82, 103.82, 60.00 degrees
Atoms (fractional coordinates):
H 0.271 0.271 0.312
I 0.851 0.851 0.052
I 0.024 0.024 0.573
Pm 0.604 0.604 0.313

Values from the calculation:
Space-group type = R3m (160)
Electronic total energy = -4.031 eV/atom

---

This record from OQMD via LeMat-Bulk describes an optimized crystal structure of Sr2AlAgH6. The functional is PBE.

Cell lengths 5.590, 5.590, 5.590 Å; angles 60.00, 60.00, 60.00 degrees
Atoms (fractional coordinates):
Ag 0.500 0.500 0.500
Al 0.000 0.000 0.000
H 0.230 0.770 0.230
H 0.770 0.770 0.230
H 0.770 0.230 0.230
H 0.230 0.230 0.770
H 0.770 0.230 0.770
H 0.230 0.770 0.770
Sr 0.250 0.250 0.250
Sr 0.750 0.750 0.750

Values from the calculation:
Space-group type = Fm-3m (225)
Electronic total energy = -3.161 eV/atom

---

This record from OQMD via LeMat-Bulk describes an optimized crystal structure of TaNbFeSn. The functional is PBE.

Cell lengths 4.583, 4.583, 4.583 Å; angles 60.00, 60.00, 60.00 degrees
Atoms (fractional coordinates):
Fe 0.750 0.750 0.750
Nb 0.250 0.250 0.250
Sn 0.000 0.000 0.000
Ta 0.500 0.500 0.500

Values from the calculation:
Space-group type = F-43m (216)
Energy relative to the lowest polymorph listed for this composition = 0.0000 eV per atom

---

This record from OQMD via LeMat-Bulk describes an optimized crystal structure of Cu5Ag4. The functional is PBE.

Cell lengths 7.079, 7.079, 7.830 Å; angles 120.50, 120.50, 23.00 degrees
Atoms (fractional coordinates):
Ag 0.665 0.665 0.010
Ag 0.557 0.557 0.335
Ag 0.443 0.443 0.665
Ag 0.335 0.335 0.990
Cu 0.000 0.000 0.000
Cu 0.884 0.884 0.331
Cu 0.230 0.230 0.348
Cu 0.770 0.770 0.652
Cu 0.116 0.116 0.669

Values from the calculation:
Energy relative to the elements = 0.100 eV/atom
Space-group type = C2/m (12)
Energy relative to the lowest polymorph listed for this composition = 0.0592 eV per atom

---

This record from OQMD via LeMat-Bulk describes an optimized crystal structure of U2CN. The functional is PBE.

Cell lengths 4.900, 4.900, 10.955 Å; angles 90.00, 116.55, 90.00 degrees
Last column: magnetic moment on the atom in μB.
Atoms (fractional coordinates):
C 0.625 0.750 0.125  -0.04
C 0.375 0.750 0.375  -0.04
C 0.625 0.250 0.625  -0.04
C 0.375 0.250 0.875  -0.04
N 0.125 0.250 0.125  -0.04
N 0.875 0.250 0.375  -0.04
N 0.125 0.750 0.625  -0.04
N 0.875 0.750 0.875  -0.04
U 0.123 0.750 0.123  0.70
U 0.627 0.250 0.127  0.71
U 0.373 0.250 0.373  0.71
U 0.877 0.750 0.377  0.70
U 0.123 0.250 0.623  0.70
U 0.627 0.750 0.627  0.71
U 0.373 0.750 0.873  0.71
U 0.877 0.250 0.877  0.70

Values from the calculation:
Space-group type = I4_1/amd (141)
Electronic total energy = -10.754 eV/atom

---

This record from OQMD via LeMat-Bulk describes an optimized crystal structure of CoMo2N. The functional is PBE.

Cell lengths 2.800, 2.800, 14.193 Å; angles 90.00, 90.00, 120.00 degrees
Last column: magnetic moment on the atom in μB.
Atoms (fractional coordinates):
Co 0.667 0.333 0.250  1.11
Co 0.333 0.667 0.750  1.11
Mo 0.333 0.667 0.100  -0.01
Mo 0.333 0.667 0.400  -0.02
Mo 0.667 0.333 0.600  -0.02
Mo 0.667 0.333 0.900  -0.01
N 0.000 0.000 0.000  0.01
N 0.000 0.000 0.500  0.01

Values from the calculation:
Space-group type = P6_3/mmc (194)
Energy relative to the lowest polymorph listed for this composition = 0.1172 eV per atom

---

| no. | volume (Å³ per atom) |
| --- | --- |
| 1 | 17.06 |
| 2 | 23.98 |
| 3 | 32.79 |
| 4 | 28.30 |
| 5 | 28.21 |
| 6 | 11.82 |
| 7 | 30.11 |
| 8 | 12.35 |
| 9 | 17.02 |
| 10 | 14.57 |
| 11 | 14.71 |
| 12 | 12.05 |